1.
Compound: Dy5Zn
Source: Alexandria via LeMat-Bulk
Functional: PBE-GGA
Structure: optimized geometry

Summary:
offset from the most stable computed form: 46 meV per atom
calculated formation energy: 0.04 eV/atom

Cell and atoms, written as POSCAR:
```
Dy5Zn
1.0
2.967 -5.148 0.000
2.967 5.148 0.000
-2.014 0.000 5.587
Dy Zn
5 1
direct
0.000 0.000 0.000
0.166 0.834 0.500
0.339 0.661 0.000
0.661 0.339 0.000
0.834 0.166 0.500
0.500 0.500 0.500
```

---

2.
Compound: Ca2NdAl
Source: Alexandria via LeMat-Bulk
Functional: PBE-GGA
Structure: optimized geometry

Summary:
offset from the most stable computed form: 0 meV per atom
calculated formation energy: -0.08 eV/atom

Cell and atoms, written as POSCAR:
```
Ca2NdAl
1.0
4.846 0.000 0.000
0.000 4.846 0.000
0.000 0.000 5.263
Ca Nd Al
2 1 1
direct
0.000 0.500 0.000
0.500 0.000 0.000
0.000 0.000 0.500
0.500 0.500 0.500
```

---

3.
Compound: RbNaCa2Ag
Source: Alexandria via LeMat-Bulk
Functional: PBE-GGA
Structure: optimized geometry

Summary:
offset from the most stable computed form: 0 meV per atom
calculated formation energy: 0.04 eV/atom

Cell and atoms, written as POSCAR:
```
RbNaCa2Ag
1.0
5.939 0.000 0.000
0.000 5.939 0.000
0.000 0.000 6.192
Rb Na Ca Ag
1 1 2 1
direct
0.000 0.000 0.000
0.500 0.500 0.000
0.000 0.500 0.500
0.500 0.000 0.500
0.500 0.500 0.500
```

---

4.
Compound: CdAgPb
Source: Alexandria via LeMat-Bulk
Functional: PBE-GGA
Structure: optimized geometry

Summary:
calculated formation energy: 0.01 eV/atom

Cell and atoms, written as POSCAR:
```
CdAgPb
1.0
3.508 0.000 0.000
0.000 3.508 0.000
0.000 0.000 11.660
Cd Ag Pb
2 2 2
direct
0.250 0.250 0.198
0.750 0.750 0.802
0.250 0.250 0.936
0.750 0.750 0.064
0.250 0.250 0.616
0.750 0.750 0.384
```

---

5.
Compound: In2GeOs
Source: Alexandria via LeMat-Bulk
Functional: PBE-GGA
Structure: optimized geometry

Summary:
calculated formation energy: 0.15 eV/atom

Cell and atoms, written as POSCAR:
```
In2GeOs
1.0
2.304 -6.665 0.000
2.304 6.665 0.000
-0.992 0.000 2.940
In Ge Os
2 1 1
direct
0.173 0.827 0.000
0.827 0.173 0.000
0.506 0.506 0.247
0.069 0.069 0.536
```

---

6.
Compound: SrYSi2
Source: Alexandria via LeMat-Bulk
Functional: PBE-GGA
Structure: optimized geometry

Summary:
offset from the most stable computed form: 71 meV per atom

Cell and atoms, written as POSCAR:
```
SrYSi2
1.0
4.991 -1.968 0.000
4.991 1.968 0.000
-3.794 0.000 5.829
Sr Y Si
1 1 2
direct
0.000 0.000 0.000
0.500 0.500 0.500
0.248 0.248 0.603
0.752 0.752 0.397
```

---

no.,total energy (eV/atom)
1,-4.01
2,-3.21
3,-1.79
4,-2.48
5,-5.19
6,-5.11